Entry 1:
## ZrHgCl2 (PBE)

Data for an optimized crystal structure of ZrHgCl2.

Summary:
formation energy without anion corrections	-629	meV/atom
space-group type	I-42d, No. 122
offset from the most stable computed form	0.505	eV per atom

Cell lengths 7.1791, 7.1791, 8.0112 Å; angles 63.38, 63.38, 90.00 degrees
Last column: magnetic moment on the atom in μB.
Positions (direct):
Cl1 0.8750 0.7377 0.7500  -0.03
Zr1 0.2500 0.7500 0.5000  1.34
Hg1 0.0000 0.0000 0.0000  0.01
Cl2 0.3750 0.5123 0.7500  -0.02
Cl3 0.2623 0.6250 0.2500  -0.03
Zr2 0.5000 0.5000 0.0000  1.31
Cl4 0.4877 0.1250 0.2500  -0.02
Hg2 0.7500 0.2500 0.5000  0.01

---

Entry 2:
## ZrHgCl2 (PBE)

Data for an optimized crystal structure of ZrHgCl2.

Summary:
formation energy without anion corrections	-271	meV/atom
space-group type	P4/mmm, No. 123
offset from the most stable computed form	0.863	eV per atom

Cell lengths 5.0971, 5.0971, 3.4441 Å; angles 90.00, 90.00, 90.00 degrees
Last column: magnetic moment on the atom in μB.
Positions (direct):
Hg1 0.5000 0.0000 0.5000  -0.02
Zr1 0.0000 0.5000 0.5000  0.88
Cl1 0.5000 0.5000 0.0000  0.00
Cl2 0.0000 0.0000 0.0000  0.00

---

Entry 3:
## Zr4HgCl (PBE)

Data for an optimized crystal structure of Zr4HgCl.

Summary:
formation energy without anion corrections	372	meV/atom
space-group type	F-43m, No. 216

Cell lengths 5.8316, 5.8316, 5.8316 Å; angles 60.00, 60.00, 60.00 degrees
Positions (direct):
Zr1 0.3726 0.8821 0.3726
Hg1 0.0000 0.0000 0.0000
Cl1 0.7500 0.7500 0.7500
Zr2 0.3726 0.3726 0.8821
Zr3 0.8821 0.3726 0.3726
Zr4 0.3726 0.3726 0.3726